No. 1
Compound: Pr2NdNiPt2Pb3
Source: the Open Quantum Materials Database
Functional: PBE
Structure: optimized geometry

Structure (POSCAR):
```
Pr2NdNiPt2Pb3
1.0
-3.389 1.492 -1.631
-2.240 -7.260 -1.986
-2.051 2.966 6.976
Nd Pb Pr Pt Ni
1 3 2 2 1
direct
0.000 0.592 0.592
0.500 0.999 0.753
0.500 0.247 0.247
0.500 0.753 0.999
0.000 0.000 0.408
0.000 0.408 0.000
0.500 0.335 0.666
0.500 0.666 0.335
0.000 0.999 0.999
```

Summary:
Magnetic moment ... 0.001 Bohr magnetons per cell

***

No. 2
Compound: NdNi2SbPb
Source: the Open Quantum Materials Database
Functional: PBE
Structure: optimized geometry

Structure (POSCAR):
```
NdNi2SbPb
1.0
-3.401 -2.239 1.786
1.957 -3.841 -1.088
4.895 -0.107 9.187
Ni Sb Pb Nd
4 2 2 2
direct
0.000 0.500 0.641
0.500 0.000 0.359
0.500 0.500 0.000
0.000 0.000 0.000
0.000 0.500 0.877
0.500 0.000 0.123
0.500 0.500 0.500
0.000 0.000 0.500
0.500 0.000 0.770
0.000 0.500 0.230
```

Summary:
Magnetic moment ... 0.002 Bohr magnetons per cell

***

No. 3
Compound: NdScNi2Pb
Source: the Open Quantum Materials Database
Functional: PBE
Structure: optimized geometry

Structure (POSCAR):
```
NdScNi2Pb
1.0
3.619 0.000 0.000
0.000 1.988 7.197
0.000 -1.988 7.197
Sc Pb Ni Nd
1 1 2 1
direct
0.000 0.644 0.644
0.500 0.009 0.009
0.500 0.195 0.195
0.500 0.790 0.790
0.000 0.362 0.362
```

Summary:
Magnetic moment ... 0.000 Bohr magnetons per cell

***

no.,VASP energy (eV per atom)
1,-5.520
2,-5.231
3,-5.622